The following is a PBE with a Hubbard U calculation of MnBi12O20 after structural relaxation, from Alexandria via LeMat-Bulk.

DOS at the Fermi energy, states/eV/cell: 8.582
Total energy, eV/cell: -192.612

Unit cell a=8.9295 b=8.9295 c=8.9295 alpha=109.47 beta=109.47 gamma=109.47
Closest atoms and distances in Å follow each position.
Atoms (fractional coordinates):
Mn 0.0000 0.0000 0.0000  4 O 1.84
Bi 0.1415 0.3028 0.8069  3 O 2.11-2.25
Bi 0.1613 0.8585 0.6654  3 O 2.11-2.25
Bi 0.1931 0.4959 0.3346  3 O 2.11-2.25
Bi 0.3028 0.8069 0.1415  3 O 2.11-2.25
Bi 0.3346 0.1931 0.4959  3 O 2.11-2.25
Bi 0.4959 0.3346 0.1931  3 O 2.11-2.25
Bi 0.5041 0.6972 0.8387  3 O 2.11-2.25
Bi 0.6654 0.1613 0.8585  3 O 2.11-2.25
Bi 0.6972 0.8387 0.5041  3 O 2.11-2.25
Bi 0.8069 0.1415 0.3028  3 O 2.11-2.25
Bi 0.8387 0.5041 0.6972  3 O 2.11-2.25
Bi 0.8585 0.6654 0.1613  3 O 2.11-2.25
O 0.0000 0.0000 0.2062  1 Mn 1.84
O 0.0000 0.0000 0.6088  3 Bi 2.25
O 0.0000 0.2062 0.0000  1 Mn 1.84
O 0.0000 0.6088 0.0000  3 Bi 2.25
O 0.1179 0.7585 0.3789  2 Bi 2.11-2.25
O 0.2062 0.0000 0.0000  1 Mn 1.84
O 0.2415 0.3594 0.6204  2 Bi 2.11-2.25
O 0.2610 0.6406 0.8821  2 Bi 2.11-2.25
O 0.3594 0.6204 0.2415  2 Bi 2.11-2.25
O 0.3789 0.1179 0.7585  2 Bi 2.11-2.25
O 0.3796 0.7390 0.6211  2 Bi 2.11-2.25
O 0.3912 0.3912 0.3912  3 Bi 2.25
O 0.6088 0.0000 0.0000  3 Bi 2.25
O 0.6204 0.2415 0.3594  2 Bi 2.11-2.25
O 0.6211 0.3796 0.7390  2 Bi 2.11-2.25
O 0.6406 0.8821 0.2610  2 Bi 2.11-2.25
O 0.7390 0.6211 0.3796  2 Bi 2.11-2.25
O 0.7585 0.3789 0.1179  2 Bi 2.11-2.25
O 0.7938 0.7938 0.7938  1 Mn 1.84
O 0.8821 0.2610 0.6406  2 Bi 2.11-2.25